Density functional theory data (GGA-PBE) for crystalline U2Sn2Ru3 at its relaxed geometry.

Geometry as extended XYZ:
```
7
Lattice="-2.2856 -0.0607 -4.0502 -4.3744 0.4470 2.4619 2.1101 6.2043 1.3866" Properties=species:S:1:pos:R:3 pbc="T T T"
U -3.2688 4.5465 -0.8940
U -1.2812 2.0442 0.6923
Sn -4.5421 1.4539 -0.1290
Sn -0.0078 5.1368 -0.0726
Ru -4.3744 0.4470 2.4619
Ru -1.4161 3.5589 -1.9247
Ru -3.1338 3.0317 1.7230
```

Output
Mass density: 11520 kg/m³
SG: No. 12
DFT formation energy: -263.6 meV/atom